# 1
NaGaP2O7 | PBE-GGA | relaxed

The calculation puts the spin magnetization at 0.00 μB per atom. The total energy comes out at -6.7006 eV per atom. The calculation puts the formation energy from raw total energies at -23.83 eV per formula unit.

a b c (Å): 7.371 7.948 9.562
angles (deg): 90.00 111.87 90.00
Space group P2_1/c (No. 14)
Asymmetric unit:
Na (0.210, 0.025, 0.205) x4
Ga (0.241, 0.007, 0.751) x4
P (0.171, 0.709, 0.952) x4
P (0.427, 0.245, 0.046) x4
O (0.031, 0.585, 0.845) x4
O (0.137, 0.606, 0.399) x4
O (0.190, 0.698, 0.117) x4
O (0.312, 0.137, 0.605) x4
O (0.313, 0.212, 0.878) x4
O (0.377, 0.652, 0.938) x4
O (0.490, 0.084, 0.141) x4

# 2
Pm3SbI7 | PBE-GGA | relaxed

The calculation puts the spin magnetization at 0.10 μB per atom. The total energy comes out at -3.8440 eV per atom. The calculation puts the formation energy from raw total energies at -13.06 eV per formula unit.

a b c (Å): 9.1730 9.1730 7.1690
angles (deg): 90.00 90.00 120.00
Space group P3m1 (No. 156)
Asymmetric unit:
Pm (0.0052, 0.5026, 0.0000) x3
Sb (0.3333, 0.6667, 0.2324) x1
I (0.1754, 0.3507, 0.7460) x3
I (0.3418, 0.1709, 0.2319) x3
I (0.6667, 0.3333, 0.7404) x1